(i)
A relaxed CaLa2Ta crystal. Source: Alexandria via LeMat-Bulk, functional GGA-PBE.

Properties
spin magnetization	0.00	μB/cell
volume	31.883	Å³/atom

Geometry as CIF:
```
data_CaLa2Ta
_cell_length_a 3.4320
_cell_length_b 3.4320
_cell_length_c 10.8275
_cell_angle_alpha 90.00
_cell_angle_beta 90.00
_cell_angle_gamma 90.00
_symmetry_space_group_name_H-M 'P 4/m m m'
_symmetry_Int_Tables_number 123
_symmetry_space_group_name_Hall '-P 4 2'
loop_
_atom_site_label
_atom_site_fract_x
_atom_site_fract_y
_atom_site_fract_z
_atom_site_occupancy
Ca1 0.0000 0.0000 0.0000 1
La1 0.5000 0.5000 0.2986 1
Ta1 0.0000 0.0000 0.5000 1
```

(ii)
A relaxed CaLa2Ta crystal. Source: Alexandria via LeMat-Bulk, functional GGA-PBE.

Properties
spin magnetization	0.00	μB/cell
volume	29.991	Å³/atom

Geometry as CIF:
```
data_CaLa2Ta
_cell_length_a 11.6067
_cell_length_b 3.3843
_cell_length_c 6.1923
_cell_angle_alpha 90.00
_cell_angle_beta 99.46
_cell_angle_gamma 90.00
_symmetry_space_group_name_H-M 'C 1 m 1'
_symmetry_Int_Tables_number 8
_symmetry_space_group_name_Hall 'C -2y'
loop_
_atom_site_label
_atom_site_fract_x
_atom_site_fract_y
_atom_site_fract_z
_atom_site_occupancy
Ca1 0.0000 0.0000 0.0000 1
La1 0.2332 0.0000 0.7085 1
La2 0.4698 0.0000 0.4639 1
Ta1 0.2390 0.5000 0.2486 1
```

(iii)
A relaxed CaLa2Ta crystal. Source: Alexandria via LeMat-Bulk, functional GGA-PBE.

Properties
spin magnetization	0.00	μB/cell
volume	29.724	Å³/atom

Geometry as CIF:
```
data_CaLa2Ta
_cell_length_a 7.1181
_cell_length_b 9.7072
_cell_length_c 3.4414
_cell_angle_alpha 90.00
_cell_angle_beta 90.00
_cell_angle_gamma 90.00
_symmetry_space_group_name_H-M 'C m m m'
_symmetry_Int_Tables_number 65
_symmetry_space_group_name_Hall '-C 2 2'
loop_
_atom_site_label
_atom_site_fract_x
_atom_site_fract_y
_atom_site_fract_z
_atom_site_occupancy
Ca1 0.0000 0.0000 0.0000 1
La1 0.2500 0.2500 0.5000 1
Ta1 0.0000 0.5000 0.0000 1
```

Most stable: (i)

(i)
A relaxed CaLa2Ta crystal. Source: Alexandria via LeMat-Bulk, functional GGA-PBE.

Properties
spin magnetization	0.01	μB/cell
volume	29.549	Å³/atom

Geometry as CIF:
```
data_CaLa2Ta
_cell_length_a 5.2046
_cell_length_b 5.2046
_cell_length_c 4.3634
_cell_angle_alpha 90.00
_cell_angle_beta 90.00
_cell_angle_gamma 90.00
_symmetry_space_group_name_H-M 'P 4/m m m'
_symmetry_Int_Tables_number 123
_symmetry_space_group_name_Hall '-P 4 2'
loop_
_atom_site_label
_atom_site_fract_x
_atom_site_fract_y
_atom_site_fract_z
_atom_site_occupancy
Ca1 0.0000 0.0000 0.0000 1
La1 0.0000 0.5000 0.5000 1
Ta1 0.5000 0.5000 0.0000 1
```

(ii)
A relaxed CaLa2Ta crystal. Source: Alexandria via LeMat-Bulk, functional GGA-PBE.

Properties
spin magnetization	0.00	μB/cell
volume	31.937	Å³/atom

Geometry as CIF:
```
data_CaLa2Ta
_cell_length_a 3.8997
_cell_length_b 3.8997
_cell_length_c 8.4002
_cell_angle_alpha 90.00
_cell_angle_beta 90.00
_cell_angle_gamma 90.00
_symmetry_space_group_name_H-M 'P 4 m m'
_symmetry_Int_Tables_number 99
_symmetry_space_group_name_Hall 'P 4 -2'
loop_
_atom_site_label
_atom_site_fract_x
_atom_site_fract_y
_atom_site_fract_z
_atom_site_occupancy
Ca1 0.0000 0.0000 0.0000 1
La1 0.0000 0.0000 0.6056 1
La2 0.5000 0.5000 0.3466 1
Ta1 0.5000 0.5000 0.7580 1
```

(iii)
A relaxed CaLa2Ta crystal. Source: Alexandria via LeMat-Bulk, functional GGA-PBE.

Properties
spin magnetization	0.00	μB/cell
volume	29.013	Å³/atom

Geometry as CIF:
```
data_CaLa2Ta
_cell_length_a 7.7429
_cell_length_b 7.7429
_cell_length_c 7.7429
_cell_angle_alpha 90.00
_cell_angle_beta 90.00
_cell_angle_gamma 90.00
_symmetry_space_group_name_H-M 'F m -3 m'
_symmetry_Int_Tables_number 225
_symmetry_space_group_name_Hall '-F 4 2 3'
loop_
_atom_site_label
_atom_site_fract_x
_atom_site_fract_y
_atom_site_fract_z
_atom_site_occupancy
Ca1 0.0000 0.0000 0.0000 1
La1 0.2500 0.2500 0.2500 1
Ta1 0.0000 0.0000 0.5000 1
```

(iv)
A relaxed CaLa2Ta crystal. Source: Alexandria via LeMat-Bulk, functional GGA-PBE.

Properties
spin magnetization	0.00	μB/cell
volume	30.086	Å³/atom

Geometry as CIF:
```
data_CaLa2Ta
_cell_length_a 3.3866
_cell_length_b 5.0208
_cell_length_c 7.0777
_cell_angle_alpha 90.00
_cell_angle_beta 90.08
_cell_angle_gamma 90.00
_symmetry_space_group_name_H-M 'P 1 m 1'
_symmetry_Int_Tables_number 6
_symmetry_space_group_name_Hall 'P -2y'
loop_
_atom_site_label
_atom_site_fract_x
_atom_site_fract_y
_atom_site_fract_z
_atom_site_occupancy
Ca1 0.0000 0.0000 0.0000 1
La1 0.0009 0.0000 0.5474 1
La2 0.5011 0.5000 0.2963 1
Ta1 0.5010 0.5000 0.7523 1
```

Most stable: (iii)

(i)
A relaxed Ca2LaTb crystal. Source: Alexandria via LeMat-Bulk, functional GGA-PBE.

Properties
spin magnetization	1.73	μB/cell
volume	37.307	Å³/atom

Geometry as CIF:
```
data_Ca2LaTb
_cell_length_a 3.7175
_cell_length_b 3.7175
_cell_length_c 37.4056
_cell_angle_alpha 90.00
_cell_angle_beta 90.00
_cell_angle_gamma 120.00
_symmetry_space_group_name_H-M 'R 3 m'
_symmetry_Int_Tables_number 160
_symmetry_space_group_name_Hall 'R 3 -2"'
loop_
_atom_site_label
_atom_site_fract_x
_atom_site_fract_y
_atom_site_fract_z
_atom_site_occupancy
Ca1 0.0000 0.0000 0.0000 1
Ca2 0.0000 0.0000 0.1621 1
La1 0.0000 0.0000 0.5811 1
Tb1 0.0000 0.0000 0.4145 1
```

(ii)
A relaxed Ca2LaTb crystal. Source: Alexandria via LeMat-Bulk, functional GGA-PBE.

Properties
spin magnetization	1.93	μB/cell
volume	37.609	Å³/atom

Geometry as CIF:
```
data_Ca2LaTb
_cell_length_a 3.6102
_cell_length_b 3.6102
_cell_length_c 39.9845
_cell_angle_alpha 90.00
_cell_angle_beta 90.00
_cell_angle_gamma 120.00
_symmetry_space_group_name_H-M 'R -3 m'
_symmetry_Int_Tables_number 166
_symmetry_space_group_name_Hall '-R 3 2"'
loop_
_atom_site_label
_atom_site_fract_x
_atom_site_fract_y
_atom_site_fract_z
_atom_site_occupancy
Ca1 0.0000 0.0000 0.0894 1
La1 0.0000 0.0000 0.0000 1
Tb1 0.0000 0.0000 0.5000 1
```

(iii)
A relaxed Ca2LaTb crystal. Source: Alexandria via LeMat-Bulk, functional GGA-PBE.

Properties
spin magnetization	0.00	μB/cell
volume	37.469	Å³/atom

Geometry as CIF:
```
data_Ca2LaTb
_cell_length_a 8.4320
_cell_length_b 8.4320
_cell_length_c 8.4320
_cell_angle_alpha 90.00
_cell_angle_beta 90.00
_cell_angle_gamma 90.00
_symmetry_space_group_name_H-M 'F m -3 m'
_symmetry_Int_Tables_number 225
_symmetry_space_group_name_Hall '-F 4 2 3'
loop_
_atom_site_label
_atom_site_fract_x
_atom_site_fract_y
_atom_site_fract_z
_atom_site_occupancy
Ca1 0.2500 0.2500 0.2500 1
La1 0.0000 0.0000 0.0000 1
Tb1 0.0000 0.0000 0.5000 1
```

(iv)
A relaxed Ca2LaTb crystal. Source: Alexandria via LeMat-Bulk, functional GGA-PBE.

Properties
spin magnetization	0.00	μB/cell
volume	37.428	Å³/atom

Geometry as CIF:
```
data_Ca2LaTb
_cell_length_a 5.1330
_cell_length_b 5.1330
_cell_length_c 5.6823
_cell_angle_alpha 90.00
_cell_angle_beta 90.00
_cell_angle_gamma 90.00
_symmetry_space_group_name_H-M 'P 4/m m m'
_symmetry_Int_Tables_number 123
_symmetry_space_group_name_Hall '-P 4 2'
loop_
_atom_site_label
_atom_site_fract_x
_atom_site_fract_y
_atom_site_fract_z
_atom_site_occupancy
Ca1 0.0000 0.5000 0.0000 1
La1 0.0000 0.0000 0.5000 1
Tb1 0.5000 0.5000 0.5000 1
```

Most stable: (i)